Here is ScTaSCl2 after structural relaxation from the Alexandria database. Energies are from PBE.

POSCAR file:
```
ScTaSCl2
1.0
4.831 0.000 0.000
0.000 4.831 0.000
0.000 0.000 5.124
Sc Ta S Cl
1 1 1 2
Direct
0.000 0.000 0.000
0.500 0.500 0.500
0.000 0.000 0.500
0.000 0.500 0.000
0.500 0.000 0.000
```

Computed properties:
Its calculated volume is 119.6 Å³ per cell. Its space group is P4/mmm, No. 123. For the formation energy (no corrections), the calculation gives -124 meV/atom. For the excess energy over the best structure of this formula in the dataset, the calculation gives 89.7 kJ/mol of formula units. Its density of states at the Fermi level is 6.3 states/eV per cell.

***

Here is ScTaS2Cl after structural relaxation from the Alexandria database. Energies are from PBE.

POSCAR file:
```
ScTaS2Cl
1.0
4.937 0.000 0.000
0.000 4.937 0.000
0.000 0.000 4.669
Sc Ta S Cl
1 1 2 1
Direct
0.000 0.000 0.000
0.500 0.500 0.500
0.000 0.500 0.000
0.500 0.000 0.000
0.000 0.000 0.500
```

Computed properties:
Its calculated volume is 113.8 Å³ per cell. Its space group is P4/mmm, No. 123. For the formation energy (no corrections), the calculation gives -71 meV/atom. For the excess energy over the best structure of this formula in the dataset, the calculation gives 206.7 kJ/mol of formula units. Its density of states at the Fermi level is 5.3 states/eV per cell.

***

Here is ScTaS2Cl after structural relaxation from the Alexandria database. Energies are from PBE.

POSCAR file:
```
ScTaS2Cl
1.0
4.801 0.000 0.000
0.000 4.801 0.000
0.000 0.000 4.777
Sc Ta S Cl
1 1 2 1
Direct
0.000 0.000 0.000
0.500 0.500 0.500
0.000 0.500 0.500
0.500 0.000 0.500
0.500 0.500 0.000
```

Computed properties:
Its calculated volume is 110.1 Å³ per cell. Its space group is P4/mmm, No. 123. For the formation energy (no corrections), the calculation gives -500 meV/atom. For the excess energy over the best structure of this formula in the dataset, the calculation gives 0.0 kJ/mol of formula units. Its density of states at the Fermi level is 4.6 states/eV per cell.

***

Here is ScTaSCl2 after structural relaxation from the Alexandria database. Energies are from PBE.

POSCAR file:
```
ScTaSCl2
1.0
4.850 0.000 0.000
0.000 4.850 0.000
0.000 0.000 4.802
Sc Ta S Cl
1 1 1 2
Direct
0.000 0.000 0.000
0.500 0.500 0.500
0.500 0.500 0.000
0.000 0.500 0.500
0.500 0.000 0.500
```

Computed properties:
Its calculated volume is 113.0 Å³ per cell. Its space group is P4/mmm, No. 123. For the formation energy (no corrections), the calculation gives -310 meV/atom. For the excess energy over the best structure of this formula in the dataset, the calculation gives 0.0 kJ/mol of formula units. Its density of states at the Fermi level is 6.2 states/eV per cell.

***

Here is ScTeSCl2 after structural relaxation from the Alexandria database. Energies are from PBE.

POSCAR file:
```
ScTeSCl2
1.0
4.868 0.000 0.000
0.000 4.868 0.000
0.000 0.000 5.316
Sc Te S Cl
1 1 1 2
Direct
0.000 0.000 0.000
0.500 0.500 0.500
0.000 0.000 0.500
0.000 0.500 0.000
0.500 0.000 0.000
```

Computed properties:
Its calculated volume is 126.0 Å³ per cell. Its space group is P4/mmm, No. 123. For the formation energy (no corrections), the calculation gives -871 meV/atom. For the excess energy over the best structure of this formula in the dataset, the calculation gives 0.0 kJ/mol of formula units. Its density of states at the Fermi level is 2.8 states/eV per cell.

***

Here is ScTeSCl2 after structural relaxation from the Alexandria database. Energies are from PBE.

POSCAR file:
```
ScTeSCl2
1.0
5.358 0.000 0.000
0.000 5.358 0.000
0.000 0.000 5.268
Sc Te S Cl
1 1 1 2
Direct
0.000 0.000 0.000
0.500 0.500 0.500
0.500 0.500 0.000
0.000 0.500 0.500
0.500 0.000 0.500
```

Computed properties:
Its calculated volume is 151.2 Å³ per cell. Its space group is P4/mmm, No. 123. For the formation energy (no corrections), the calculation gives 66 meV/atom. For the excess energy over the best structure of this formula in the dataset, the calculation gives 451.7 kJ/mol of formula units. Its density of states at the Fermi level is 8.0 states/eV per cell.

***

Here is ScTiSCl2 after structural relaxation from the Alexandria database. Energies are from PBE.

POSCAR file:
```
ScTiSCl2
1.0
4.777 0.000 0.000
0.000 4.777 0.000
0.000 0.000 4.870
Sc Ti S Cl
1 1 1 2
Direct
0.000 0.000 0.000
0.500 0.500 0.500
0.500 0.500 0.000
0.000 0.500 0.500
0.500 0.000 0.500
```

Computed properties:
Its calculated volume is 111.1 Å³ per cell. Its space group is P4/mmm, No. 123. For the formation energy (no corrections), the calculation gives -843 meV/atom. For the excess energy over the best structure of this formula in the dataset, the calculation gives 0.0 kJ/mol of formula units. Its density of states at the Fermi level is 5.0 states/eV per cell.

***

Here is ScTiS2Cl after structural relaxation from the Alexandria database. Energies are from PBE.

POSCAR file:
```
ScTiS2Cl
1.0
4.983 0.000 0.000
0.000 4.983 0.000
0.000 0.000 4.728
Sc Ti S Cl
1 1 2 1
Direct
0.000 0.000 0.000
0.500 0.500 0.500
0.000 0.500 0.000
0.500 0.000 0.000
0.000 0.000 0.500
```

Computed properties:
Its calculated volume is 117.4 Å³ per cell. Its space group is P4/mmm, No. 123. For the formation energy (no corrections), the calculation gives -765 meV/atom. For the excess energy over the best structure of this formula in the dataset, the calculation gives 68.3 kJ/mol of formula units. Its density of states at the Fermi level is 0.4 states/eV per cell.

***

Here is ScTiSCl2 after structural relaxation from the Alexandria database. Energies are from PBE.

POSCAR file:
```
ScTiSCl2
1.0
4.897 0.000 0.000
0.000 4.897 0.000
0.000 0.000 5.031
Sc Ti S Cl
1 1 1 2
Direct
0.000 0.000 0.000
0.500 0.500 0.500
0.000 0.000 0.500
0.000 0.500 0.000
0.500 0.000 0.000
```

Computed properties:
Its calculated volume is 120.6 Å³ per cell. Its space group is P4/mmm, No. 123. For the formation energy (no corrections), the calculation gives -815 meV/atom. For the excess energy over the best structure of this formula in the dataset, the calculation gives 13.4 kJ/mol of formula units. Its density of states at the Fermi level is 4.5 states/eV per cell.

***

Here is ScTiS2Cl after structural relaxation from the Alexandria database. Energies are from PBE.

POSCAR file:
```
ScTiS2Cl
1.0
4.750 0.000 0.000
0.000 4.750 0.000
0.000 0.000 4.596
Sc Ti S Cl
1 1 2 1
Direct
0.000 0.000 0.000
0.500 0.500 0.500
0.000 0.500 0.500
0.500 0.000 0.500
0.500 0.500 0.000
```

Computed properties:
Its calculated volume is 103.7 Å³ per cell. Its space group is P4/mmm, No. 123. For the formation energy (no corrections), the calculation gives -907 meV/atom. For the excess energy over the best structure of this formula in the dataset, the calculation gives 0.0 kJ/mol of formula units. Its density of states at the Fermi level is 5.2 states/eV per cell.

***

Here is ScTlSCl2 after structural relaxation from the Alexandria database. Energies are from PBE.

POSCAR file:
```
ScTlSCl2
1.0
5.398 0.000 0.000
0.000 5.398 0.000
0.000 0.000 5.135
Sc Tl S Cl
1 1 1 2
Direct
0.000 0.000 0.000
0.500 0.500 0.500
0.500 0.500 0.000
0.000 0.500 0.500
0.500 0.000 0.500
```

Computed properties:
Its calculated volume is 149.6 Å³ per cell. Its space group is P4/mmm, No. 123. For the formation energy (no corrections), the calculation gives -195 meV/atom. For the excess energy over the best structure of this formula in the dataset, the calculation gives 625.3 kJ/mol of formula units. Its density of states at the Fermi level is 6.0 states/eV per cell.

***

Here is ScTlSCl2 after structural relaxation from the Alexandria database. Energies are from PBE.

POSCAR file:
```
ScTlSCl2
1.0
5.116 0.000 0.000
0.000 5.116 0.000
0.000 0.000 4.962
Sc Tl S Cl
1 1 1 2
Direct
0.000 0.000 0.000
0.500 0.500 0.500
0.000 0.000 0.500
0.000 0.500 0.000
0.500 0.000 0.000
```

Computed properties:
Its calculated volume is 129.9 Å³ per cell. Its space group is P4/mmm, No. 123. For the formation energy (no corrections), the calculation gives -1491 meV/atom. For the excess energy over the best structure of this formula in the dataset, the calculation gives 0.0 kJ/mol of formula units. Its density of states at the Fermi level is 0.0 states/eV per cell.

***

Here is ScWSCl2 after structural relaxation from the Alexandria database. Energies are from PBE.

POSCAR file:
```
ScWSCl2
1.0
4.895 0.000 0.000
0.000 4.895 0.000
0.000 0.000 4.600
Sc W S Cl
1 1 1 2
Direct
0.000 0.000 0.000
0.500 0.500 0.500
0.500 0.500 0.000
0.000 0.500 0.500
0.500 0.000 0.500
```

Computed properties:
Its calculated volume is 110.2 Å³ per cell. Its space group is P4/mmm, No. 123. For the formation energy (no corrections), the calculation gives 30 meV/atom. For the excess energy over the best structure of this formula in the dataset, the calculation gives 0.0 kJ/mol of formula units. Its density of states at the Fermi level is 5.6 states/eV per cell.

***

Here is ScWSCl2 after structural relaxation from the Alexandria database. Energies are from PBE.

POSCAR file:
```
ScWSCl2
1.0
4.829 0.000 0.000
0.000 4.829 0.000
0.000 0.000 5.208
Sc W S Cl
1 1 1 2
Direct
0.000 0.000 0.000
0.500 0.500 0.500
0.000 0.000 0.500
0.000 0.500 0.000
0.500 0.000 0.000
```

Computed properties:
Its calculated volume is 121.4 Å³ per cell. Its space group is P4/mmm, No. 123. For the formation energy (no corrections), the calculation gives 37 meV/atom. For the excess energy over the best structure of this formula in the dataset, the calculation gives 3.5 kJ/mol of formula units. Its density of states at the Fermi level is 2.3 states/eV per cell.

***

Here is YScSCl2 after structural relaxation from the Alexandria database. Energies are from PBE.

POSCAR file:
```
YScSCl2
1.0
5.226 0.000 0.000
0.000 5.226 0.000
0.000 0.000 5.296
Y Sc S Cl
1 1 1 2
Direct
0.000 0.000 0.000
0.500 0.500 0.500
0.000 0.000 0.500
0.000 0.500 0.000
0.500 0.000 0.000
```

Computed properties:
Its calculated volume is 144.6 Å³ per cell. Its space group is P4/mmm, No. 123. For the formation energy (no corrections), the calculation gives -1103 meV/atom. For the excess energy over the best structure of this formula in the dataset, the calculation gives 64.9 kJ/mol of formula units. Its density of states at the Fermi level is 4.6 states/eV per cell.